No. 1
An optimized crystal structure of LaRuW, computed with PBE.

a = 6.5097 Å, b = 6.5097 Å, c = 6.5097 Å
α = 151.69°, β = 151.69°, γ = 40.46°
Fractional coordinates of all 3 atoms:
La 0.0000 0.0000 0.0000
Ru 0.2994 0.2994 0.0000
W 0.6983 0.6983 0.0000

Calculated values
As for the energy above the most stable polymorph in this dataset: 0.00 eV per formula unit. As for the volume: 20.64 Å³ per atom. Its total energy is -8.867 eV/atom. Its density of states at the Fermi level is 0.9267 states/eV per atom. For the total magnetic moment, the calculation gives 0.00 Bohr magnetons per cell.

No. 2
An optimized crystal structure of LaZrRu2W, computed with PBE.

a = 4.7147 Å, b = 4.7147 Å, c = 5.3015 Å
α = 90.00°, β = 90.00°, γ = 90.00°
Fractional coordinates of all 5 atoms:
La 0.0000 0.0000 0.0000
Zr 0.0000 0.0000 0.5000
Ru 0.0000 0.5000 0.5000
Ru 0.5000 0.0000 0.5000
W 0.5000 0.5000 0.0000

Calculated values
As for the volume: 23.57 Å³ per atom. Its total energy is -7.145 eV/atom. Its density of states at the Fermi level is 1.5200 states/eV per atom. For the total magnetic moment, the calculation gives 0.00 Bohr magnetons per cell.

No. 3
An optimized crystal structure of LaYRu, computed with PBE.

a = 5.4052 Å, b = 5.4096 Å, c = 5.8156 Å
α = 90.00°, β = 97.27°, γ = 90.00°
Fractional coordinates of all 6 atoms:
La 0.0522 0.2500 0.2867
La 0.9478 0.7500 0.7133
Y 0.4920 0.2500 0.8167
Y 0.5080 0.7500 0.1833
Ru 0.4167 0.7500 0.6577
Ru 0.5833 0.2500 0.3423

Calculated values
As for the energy above the most stable polymorph in this dataset: 0.06 eV per formula unit. As for the volume: 28.11 Å³ per atom. Its total energy is -7.119 eV/atom. Its density of states at the Fermi level is 0.7034 states/eV per atom. For the total magnetic moment, the calculation gives 0.00 Bohr magnetons per cell.

No. 4
An optimized crystal structure of LaYRu, computed with PBE.

a = 4.7817 Å, b = 4.7817 Å, c = 3.7689 Å
α = 90.00°, β = 90.00°, γ = 120.00°
Fractional coordinates of all 3 atoms:
La 0.0000 0.0000 0.0000
Y 0.3333 0.6667 0.5482
Ru 0.6667 0.3333 0.2797

Calculated values
As for the energy above the most stable polymorph in this dataset: 0.64 eV per formula unit. As for the volume: 24.88 Å³ per atom. Its total energy is -6.925 eV/atom. Its density of states at the Fermi level is 1.0180 states/eV per atom. For the total magnetic moment, the calculation gives 0.00 Bohr magnetons per cell.

No. 5
An optimized crystal structure of La3YRu2, computed with PBE.

a = 8.7703 Å, b = 8.7703 Å, c = 8.4804 Å
α = 99.77°, β = 99.77°, γ = 31.97°
Fractional coordinates of all 12 atoms:
La 0.0598 0.0598 0.1935
La 0.1873 0.1873 0.5693
La 0.3166 0.3166 0.9471
La 0.6834 0.6834 0.0529
La 0.8127 0.8127 0.4307
La 0.9402 0.9402 0.8065
Y 0.4396 0.4396 0.3203
Y 0.5604 0.5604 0.6797
Ru 0.1260 0.1260 0.8736
Ru 0.3783 0.3783 0.6266
Ru 0.6217 0.6217 0.3734
Ru 0.8740 0.8740 0.1264

Calculated values
As for the volume: 28.33 Å³ per atom. Its total energy is -6.849 eV/atom. Its density of states at the Fermi level is 0.6556 states/eV per atom. For the total magnetic moment, the calculation gives 0.00 Bohr magnetons per cell.

No. 6
An optimized crystal structure of LaYRu, computed with PBE.

a = 7.2119 Å, b = 7.2119 Å, c = 7.2119 Å
α = 152.14°, β = 152.14°, γ = 39.81°
Fractional coordinates of all 3 atoms:
La 0.0000 0.0000 0.0000
Y 0.7503 0.7503 0.0000
Ru 0.3693 0.3693 0.0000

Calculated values
As for the energy above the most stable polymorph in this dataset: 0.03 eV per formula unit. As for the volume: 27.25 Å³ per atom. Its total energy is -7.130 eV/atom. Its density of states at the Fermi level is 0.7765 states/eV per atom. For the total magnetic moment, the calculation gives 0.00 Bohr magnetons per cell.

No. 7
An optimized crystal structure of LaYRu, computed with PBE.

a = 8.9392 Å, b = 8.9392 Å, c = 8.9392 Å
α = 120.11°, β = 82.68°, γ = 128.74°
Fractional coordinates of all 18 atoms:
La 0.9999 0.2500 0.2499
La 0.0001 0.7500 0.7501
La 0.1702 0.1275 0.5427
La 0.1706 0.6281 0.0425
La 0.5848 0.6275 0.4573
La 0.5856 0.1281 0.9575
Y 0.3310 0.3310 0.0000
Y 0.3310 0.8310 0.5000
Y 0.5854 0.2126 0.3731
Y 0.5854 0.7122 0.8728
Y 0.8395 0.2122 0.6269
Y 0.8395 0.7126 0.1272
Ru 0.2525 0.0859 0.1670
Ru 0.2525 0.5855 0.6666
Ru 0.5852 0.8354 0.2498
Ru 0.5856 0.3354 0.7502
Ru 0.9189 0.0855 0.8330
Ru 0.9189 0.5859 0.3334

Calculated values
As for the energy above the most stable polymorph in this dataset: 0.01 eV per formula unit. As for the volume: 25.74 Å³ per atom. Its total energy is -7.135 eV/atom. Its density of states at the Fermi level is 0.6733 states/eV per atom. For the total magnetic moment, the calculation gives 0.00 Bohr magnetons per cell.

No. 8
An optimized crystal structure of LaYRu, computed with PBE.

a = 6.6512 Å, b = 6.9482 Å, c = 10.0452 Å
α = 90.00°, β = 130.01°, γ = 90.00°
Fractional coordinates of all 12 atoms:
La 0.1555 0.0706 0.3886
La 0.1555 0.4294 0.8886
La 0.8445 0.5706 0.1114
La 0.8445 0.9294 0.6114
Y 0.3682 0.5701 0.6091
Y 0.3682 0.9299 0.1091
Y 0.6318 0.0701 0.8909
Y 0.6318 0.4299 0.3909
Ru 0.3240 0.7470 0.3361
Ru 0.3240 0.7530 0.8361
Ru 0.6760 0.2470 0.1639
Ru 0.6760 0.2530 0.6639

Calculated values
As for the energy above the most stable polymorph in this dataset: 0.00 eV per formula unit. As for the volume: 29.63 Å³ per atom. Its total energy is -7.140 eV/atom. Its density of states at the Fermi level is 0.5261 states/eV per atom. For the total magnetic moment, the calculation gives 0.00 Bohr magnetons per cell.

| no. | calculated formation energy (eV per formula unit) |
| --- | --- |
| 1 | 0.56 |
| 2 | 9.25 |
| 3 | -0.69 |
| 4 | -0.11 |
| 5 | -1.30 |
| 6 | -0.72 |
| 7 | -0.74 |
| 8 | -0.75 |